Crystalline TmPIO4 at its relaxed geometry. Source: the Alexandria database, functional PBE.

Values from the calculation:
As for the symmetry: C2/m (12). The calculation puts the energy relative to the elements, uncorrected at -16.9 eV per formula unit. The value obtained for the total DFT energy (no corrections) is -6.878 eV/atom. As for the crystal system: monoclinic. For the magnetic moment, the calculation gives 0.0 μB per cell.

a = 6.374 Å, b = 6.374 Å, c = 6.395 Å
α = 99.36°, β = 99.36°, γ = 60.32°
Fractional coordinates of all 14 atoms:
Tm 0.208 0.208 0.334
Tm 0.792 0.792 0.666
P 0.137 0.137 0.762
P 0.863 0.863 0.238
I 0.485 0.485 0.771
I 0.515 0.515 0.229
O 0.004 0.627 0.359
O 0.005 0.005 0.268
O 0.197 0.197 0.997
O 0.373 0.996 0.641
O 0.627 0.004 0.359
O 0.803 0.803 0.003
O 0.995 0.995 0.732
O 0.996 0.373 0.641